Computed, not measured: a relaxed CaP3Os crystal at the PBE level of DFT.

Calculated values
The uncorrected energy comes out at -3.685 eV/atom. The formation energy is 2.21 eV/atom. The value obtained for the energy above the lowest structure with this stoichiometry is 2.046 eV/atom.

POSCAR file:
```
CaP3Os
1.0
4.8606 0.0000 0.0000
0.0000 4.8606 0.0000
0.0000 0.0000 4.8606
Ca P Os
1 3 1
direct
0.0000 0.0000 0.0000 Ca
0.0000 0.0000 0.5000 P
0.0000 0.5000 0.0000 P
0.5000 0.0000 0.0000 P
0.5000 0.5000 0.5000 Os
```